No. 1
## Nd2ErTmSc4 (PBE)

Data for a relaxed structure of Nd2ErTmSc4.

DFT formation energy: 0.517 eV per formula unit

a = 5.952 Å, b = 3.441 Å, c = 11.195 Å
α = 90.00°, β = 100.05°, γ = 90.00°
Space group P2/m (No. 10)
One atom of each set of equivalent atoms:
Nd  0.000  0.000  0.000 (multiplicity 1)
Nd  0.000  0.500  0.500 (multiplicity 1)
Er  0.500  0.000  0.500 (multiplicity 1)
Tm  0.500  0.500  0.000 (multiplicity 1)
Sc  0.252  0.000  0.750 (multiplicity 2)
Sc  0.252  0.500  0.250 (multiplicity 2)

=====

No. 2
## SmAlGa2Cu (PBE)

Data for a relaxed structure of SmAlGa2Cu.

DFT formation energy: -2.533 eV per formula unit

a = 4.114 Å, b = 4.114 Å, c = 10.895 Å
α = 90.00°, β = 90.00°, γ = 90.00°
Space group I-4m2 (No. 119)
One atom of each set of equivalent atoms:
Sm  0.000  0.000  0.000 (multiplicity 2)
Al  0.000  0.500  0.250 (multiplicity 2)
Ga  0.000  0.000  0.386 (multiplicity 4)
Cu  0.000  0.500  0.750 (multiplicity 2)

=====

No. 3
## Fe3NiHg (PBE)

Data for a relaxed structure of Fe3NiHg.

Energy above the most stable polymorph in this dataset: 0.0 kJ per mole of atoms
DFT formation energy: 4.253 eV per formula unit

a = 4.383 Å, b = 4.383 Å, c = 4.383 Å
α = 90.00°, β = 90.00°, γ = 90.00°
Space group Pm-3m (No. 221)
One atom of each set of equivalent atoms:
Fe  0.000  0.000  0.500 (multiplicity 3)
Ni  0.000  0.000  0.000 (multiplicity 1)
Hg  0.500  0.500  0.500 (multiplicity 1)

=====

No. 4
## Cs2PaGeSe6 (PBE)

Data for a relaxed structure of Cs2PaGeSe6.

Formation energy from raw total energies: -0.925 eV per atom

a = 7.8751 Å, b = 7.8751 Å, c = 6.4639 Å
α = 90.00°, β = 90.00°, γ = 120.00°
Space group P-3m1 (No. 164)
One atom of each set of equivalent atoms:
Cs  0.3333  0.6667  0.2385 (multiplicity 2)
Pa  0.0000  0.0000  0.5000 (multiplicity 1)
Ge  0.0000  0.0000  0.0000 (multiplicity 1)
Se  0.1571  0.3141  0.7737 (multiplicity 6)

=====

No. 5
## Fe2CuCl (PBE)

Data for a relaxed structure of Fe2CuCl.

Energy above the most stable polymorph in this dataset: 45.9 kJ per mole of atoms
Formation energy from raw total energies: 0.648 eV per atom

a = 6.573 Å, b = 6.573 Å, c = 5.511 Å
α = 90.00°, β = 90.00°, γ = 90.00°
Space group I-42d (No. 122)
One atom of each set of equivalent atoms:
Fe  0.234  0.750  0.125 (multiplicity 8)
Cu  0.000  0.000  0.500 (multiplicity 4)
Cl  0.000  0.000  0.000 (multiplicity 4)

=====

No. 6
## ZnGa3Ir (PBE)

Data for a relaxed structure of ZnGa3Ir.

Energy above the most stable polymorph in this dataset: 98.7 kJ per mole of atoms
DFT formation energy: 4.252 eV per formula unit

a = 4.608 Å, b = 4.608 Å, c = 4.608 Å
α = 90.00°, β = 90.00°, γ = 90.00°
Space group Pm-3m (No. 221)
One atom of each set of equivalent atoms:
Zn  0.000  0.000  0.000 (multiplicity 1)
Ga  0.000  0.000  0.500 (multiplicity 3)
Ir  0.500  0.500  0.500 (multiplicity 1)

=====

No. 7
## La2TaCo (PBE)

Data for a relaxed structure of La2TaCo.

Energy above the most stable polymorph in this dataset: 38.5 kJ per mole of atoms
DFT formation energy: 2.019 eV per formula unit

a = 3.599 Å, b = 5.397 Å, c = 9.434 Å
α = 90.00°, β = 90.00°, γ = 90.00°
Space group Immm (No. 71)
One atom of each set of equivalent atoms:
La  0.000  0.000  0.204 (multiplicity 4)
Ta  0.000  0.500  0.000 (multiplicity 2)
Co  0.000  0.500  0.500 (multiplicity 2)

=====

No. 8
## Tl (PBE)

Data for a relaxed structure of Tl.

Energy above the most stable polymorph in this dataset: 35.9 kJ per mole of atoms
DFT formation energy: 0.372 eV per formula unit

a = 8.675 Å, b = 8.675 Å, c = 8.675 Å
α = 90.00°, β = 90.00°, γ = 90.00°
Space group Im-3m (No. 229)
One atom of each set of equivalent atoms:
Tl  0.000  0.250  0.500 (multiplicity 12)

=====

We obtain VASP energy values of -5.42, -4.23, -5.44, -4.60, -5.07, -2.99, -6.70, -1.99 eV per atom for the records listed above, in that order.